First-principles (GGA-PBE) data for a relaxed structure of NdHoPu2P4, as listed in Alexandria via LeMat-Bulk.

As for the spin magnetization: 0.084 Bohr magnetons per cell. The calculation puts the energy of formation from the pure elements at -1.323 eV per atom.

It has space group P2/m (No. 10), with a = 6.969 Å, b = 4.041 Å, c = 6.980 Å, α = 90.00°, β = 109.65° and γ = 90.00°. Symmetry generates all atoms from Nd at (0.000, 0.000, 0.000), Ho at (0.000, 0.500, 0.500), Pu at (0.500, 0.000, 0.500), Pu at (0.500, 0.500, 0.000), P at (0.257, 0.000, 0.748) and P at (0.261, 0.500, 0.261).



First-principles (GGA-PBE) data for a relaxed structure of HoEr3Co, as listed in Alexandria via LeMat-Bulk.

The energy above the lowest structure with this stoichiometry is 0.0000 eV/atom. As for the spin magnetization: 0.000 Bohr magnetons per cell. The calculation puts the energy of formation from the pure elements at -0.060 eV per atom.

It has space group P2_1/m (No. 11), with a = 5.958 Å, b = 7.558 Å, c = 6.206 Å, α = 90.00°, β = 90.97° and γ = 90.00°. Symmetry generates all atoms from Ho at (0.243, 0.250, 0.159), Er at (0.245, 0.750, 0.160), Er at (0.250, 0.000, 0.672) and Co at (0.001, 0.750, 0.500).



First-principles (GGA-PBE) data for a relaxed structure of HoZnI, as listed in Alexandria via LeMat-Bulk.

As for the spin magnetization: 0.000 Bohr magnetons per cell.

It has space group C2/m (No. 12), with a = 6.940 Å, b = 4.005 Å, c = 13.703 Å, α = 90.00°, β = 98.99° and γ = 90.00°. Symmetry generates all atoms from Ho at (0.109, 0.000, 0.312), Zn at (0.181, 0.000, 0.547) and I at (0.105, 0.500, 0.842).



First-principles (GGA-PBE) data for a relaxed structure of FeCo, as listed in Alexandria via LeMat-Bulk.

As for the spin magnetization: 8.748 Bohr magnetons per cell. The calculation puts the energy of formation from the pure elements at -0.007 eV per atom.

It has space group P4/nmm (No. 129, origin choice 2), with a = 2.820 Å, b = 2.820 Å, c = 5.760 Å, α = 90.00°, β = 90.00° and γ = 90.00°. Symmetry generates all atoms from Fe at (0.250, 0.250, 0.130) and Co at (0.250, 0.250, 0.629).



First-principles (GGA-PBE) data for a relaxed structure of LaNd2O3, as listed in Alexandria via LeMat-Bulk.

As for the spin magnetization: 0.001 Bohr magnetons per cell.

It has space group Pnma (No. 62), with a = 7.210 Å, b = 5.096 Å, c = 10.742 Å, α = 90.00°, β = 90.00° and γ = 90.00°. Symmetry generates all atoms from La at (0.126, 0.250, 0.083), Nd at (0.124, 0.250, 0.417), Nd at (0.125, 0.250, 0.750), O at (0.123, 0.750, 0.415), O at (0.125, 0.750, 0.750) and O at (0.127, 0.750, 0.085).



First-principles (GGA-PBE) data for a relaxed structure of CrAsPb, as listed in Alexandria via LeMat-Bulk.

The energy above the lowest structure with this stoichiometry is 0.1554 eV/atom. As for the spin magnetization: 3.578 Bohr magnetons per cell. The calculation puts the energy of formation from the pure elements at 0.211 eV per atom.

It has space group P-6m2 (No. 187), with a = 4.2576 Å, b = 4.2576 Å, c = 4.5316 Å, α = 90.00°, β = 90.00° and γ = 120.00°. Symmetry generates all atoms from Cr at (0.0000, 0.0000, 0.0000), As at (0.3333, 0.6667, 0.0000) and Pb at (0.6667, 0.3333, 0.5000).



First-principles (GGA-PBE) data for a relaxed structure of KRbTlAg, as listed in Alexandria via LeMat-Bulk.

The energy above the lowest structure with this stoichiometry is 0.1227 eV/atom. As for the spin magnetization: 0.015 Bohr magnetons per cell. The calculation puts the energy of formation from the pure elements at 0.114 eV per atom.

It has space group F-43m (No. 216), with a = 8.318 Å, b = 8.318 Å, c = 8.318 Å, α = 90.00°, β = 90.00° and γ = 90.00°. Symmetry generates all atoms from K at (0.000, 0.000, 0.000), Rb at (0.250, 0.250, 0.750), Tl at (0.250, 0.250, 0.250) and Ag at (0.000, 0.000, 0.500).



First-principles (GGA-PBE) data for a relaxed structure of AlAsP2, as listed in Alexandria via LeMat-Bulk.

The energy above the lowest structure with this stoichiometry is 0.4260 eV/atom. As for the spin magnetization: 0.000 Bohr magnetons per cell. The calculation puts the energy of formation from the pure elements at 0.345 eV per atom.

It has space group I-4m2 (No. 119), with a = 3.571 Å, b = 3.571 Å, c = 10.832 Å, α = 90.00°, β = 90.00° and γ = 90.00°. Symmetry generates all atoms from Al at (0.000, 0.000, 0.000), As at (0.000, 0.500, 0.750), P at (0.000, 0.000, 0.500) and P at (0.000, 0.500, 0.250).



| no. | DOS(E_F) (states/eV/atom) | raw total energy (eV/atom) |
| --- | --- | --- |
| 1 | 3.05 | -8.7796 |
| 2 | 1.26 | -5.1343 |
| 3 | 0.56 | -3.1049 |
| 4 | 0.83 | -7.7910 |
| 5 | 0.50 | -7.6570 |
| 6 | 0.43 | -5.7823 |
| 7 | 0.90 | -1.7064 |
| 8 | 0.43 | -4.4581 |